[1]
Density functional theory data (GGA-PBEsol) for a relaxed Li2MnNi crystal.

Structure (CIF):
```
data_Li2MnNi
_symmetry_space_group_name_H-M 'F -4 3 m'
_symmetry_Int_Tables_number 216
_symmetry_space_group_name_Hall 'F -4 2 3'
_cell_length_a 5.8217
_cell_length_b 5.8217
_cell_length_c 5.8217
_cell_angle_alpha 90.00
_cell_angle_beta 90.00
_cell_angle_gamma 90.00
loop_
_atom_site_label
_atom_site_fract_x
_atom_site_fract_y
_atom_site_fract_z
Li1 0.0000 0.0000 0.0000
Li2 0.2500 0.2500 0.2500
Mn1 0.0000 0.0000 0.5000
Ni1 0.2500 0.2500 0.7500
```

Output
- total energy (eV per cell) = -75.71
- DOS at the Fermi energy (states/eV per cell) = 8.35
- offset from the most stable computed form (meV/atom) = 26

---

[2]
Density functional theory data (GGA-PBEsol) for a relaxed Li4MnNi5O12 crystal.

Structure (CIF):
```
data_Li4MnNi5O12
_symmetry_space_group_name_H-M 'C 1 2/m 1'
_symmetry_Int_Tables_number 12
_symmetry_space_group_name_Hall '-C 2y'
_cell_length_a 4.9686
_cell_length_b 8.3224
_cell_length_c 9.8337
_cell_angle_alpha 90.00
_cell_angle_beta 100.23
_cell_angle_gamma 90.00
loop_
_atom_site_label
_atom_site_fract_x
_atom_site_fract_y
_atom_site_fract_z
Li1 0.0994 0.1714 0.2569
Mn1 0.0000 0.0000 0.5000
Ni1 0.0000 0.1660 0.0000
Ni2 0.0000 0.3348 0.5000
Ni3 0.0000 0.5000 0.0000
O1 0.1104 0.0000 0.8935
O2 0.1346 0.3305 0.8980
O3 0.1783 0.1699 0.6100
O4 0.2101 0.5000 0.6023
```

Output
- formation energy (no corrections) (eV per formula unit) = -27.91
- total energy (eV per cell) = -278.63
- DOS at the Fermi energy (states/eV per cell) = 12.26

---

[3]
Density functional theory data (GGA-PBEsol) for a relaxed Li5Mn2Ni5O12 crystal.

Structure (CIF):
```
data_Li5Mn2Ni5O12
_symmetry_space_group_name_H-M 'C 1 2 1'
_symmetry_Int_Tables_number 5
_symmetry_space_group_name_Hall 'C 2y'
_cell_length_a 4.9326
_cell_length_b 8.6060
_cell_length_c 9.5064
_cell_angle_alpha 90.00
_cell_angle_beta 98.79
_cell_angle_gamma 90.00
loop_
_atom_site_label
_atom_site_fract_x
_atom_site_fract_y
_atom_site_fract_z
Li1 0.0000 0.0000 0.0000
Li2 0.2450 0.8300 0.2446
Li3 0.2488 0.4960 0.2442
Mn1 0.0000 0.1613 0.5000
Mn2 0.0000 0.6607 0.0000
Ni1 0.0000 0.3304 0.0000
Ni2 0.0000 0.4937 0.5000
Ni3 0.0000 0.8270 0.5000
Ni4 0.2426 0.1591 0.2445
O1 0.1188 0.5059 0.8809
O2 0.1245 0.0068 0.3788
O3 0.1245 0.3150 0.3801
O4 0.1387 0.6610 0.3832
O5 0.1397 0.8139 0.8810
O6 0.1445 0.1686 0.8838
```

Output
- formation energy (no corrections) (eV per formula unit) = -33.13
- total energy (eV per cell) = -312.53
- DOS at the Fermi energy (states/eV per cell) = 16.15

---

[4]
Density functional theory data (GGA-PBEsol) for a relaxed Li4Mn3NiO8 crystal.

Structure (CIF):
```
data_Li4Mn3NiO8
_symmetry_space_group_name_H-M 'R -3 m'
_symmetry_Int_Tables_number 166
_symmetry_space_group_name_Hall '-R 3 2"'
_cell_length_a 5.6478
_cell_length_b 5.6478
_cell_length_c 14.2710
_cell_angle_alpha 90.00
_cell_angle_beta 90.00
_cell_angle_gamma 120.00
loop_
_atom_site_label
_atom_site_fract_x
_atom_site_fract_y
_atom_site_fract_z
Li1 0.0000 0.0000 0.0000
Li2 0.0000 0.5000 0.0000
Mn1 0.0000 0.5000 0.5000
Ni1 0.0000 0.0000 0.5000
O1 0.0000 0.0000 0.2417
O2 0.0142 0.5071 0.7567
```

Output
- formation energy (no corrections) (eV per formula unit) = -27.70
- total energy (eV per cell) = -339.01
- DOS at the Fermi energy (states/eV per cell) = 12.72

---

[5]
Density functional theory data (GGA-PBEsol) for a relaxed Li5MnNi4O10 crystal.

Structure (CIF):
```
data_Li5MnNi4O10
_symmetry_space_group_name_H-M 'P -1'
_symmetry_Int_Tables_number 2
_symmetry_space_group_name_Hall '-P 1'
_cell_length_a 2.8570
_cell_length_b 6.3942
_cell_length_c 9.5078
_cell_angle_alpha 78.16
_cell_angle_beta 89.08
_cell_angle_gamma 77.10
loop_
_atom_site_label
_atom_site_fract_x
_atom_site_fract_y
_atom_site_fract_z
Li1 0.0000 0.0000 0.0000
Li2 0.1983 0.5896 0.6023
Li3 0.4058 0.2036 0.1970
Mn1 0.5000 0.0000 0.5000
Ni1 0.1080 0.8015 0.2995
Ni2 0.2883 0.4014 0.8998
O1 0.0400 0.9054 0.6346
O2 0.1493 0.6789 0.9582
O3 0.2773 0.5103 0.2378
O4 0.3604 0.2780 0.5521
O5 0.4185 0.1247 0.8437
```

Output
- formation energy (no corrections) (eV per formula unit) = -28.45
- total energy (eV per cell) = -125.17
- DOS at the Fermi energy (states/eV per cell) = 8.48

---

[6]
Density functional theory data (GGA-PBEsol) for a relaxed Li3MnNi2O6 crystal.

Structure (CIF):
```
data_Li3MnNi2O6
_symmetry_space_group_name_H-M 'C 1 2/m 1'
_symmetry_Int_Tables_number 12
_symmetry_space_group_name_Hall '-C 2y'
_cell_length_a 12.6874
_cell_length_b 2.8221
_cell_length_c 5.7274
_cell_angle_alpha 90.00
_cell_angle_beta 102.88
_cell_angle_gamma 90.00
loop_
_atom_site_label
_atom_site_fract_x
_atom_site_fract_y
_atom_site_fract_z
Li1 0.0000 0.0000 0.0000
Li2 0.1701 0.5000 0.3260
Mn1 0.0000 0.0000 0.5000
Ni1 0.1661 0.5000 0.8349
O1 0.0047 0.5000 0.2763
O2 0.1548 0.0000 0.5912
O3 0.1692 0.0000 0.0643
```

Output
- formation energy (no corrections) (eV per formula unit) = -18.10
- total energy (eV per cell) = -155.14
- DOS at the Fermi energy (states/eV per cell) = 9.40

---

[7]
Density functional theory data (GGA-PBEsol) for a relaxed Li4MnNi3O8 crystal.

Structure (CIF):
```
data_Li4MnNi3O8
_symmetry_space_group_name_H-M 'R -3 m'
_symmetry_Int_Tables_number 166
_symmetry_space_group_name_Hall '-R 3 2"'
_cell_length_a 5.7221
_cell_length_b 5.7221
_cell_length_c 14.0757
_cell_angle_alpha 90.00
_cell_angle_beta 90.00
_cell_angle_gamma 120.00
loop_
_atom_site_label
_atom_site_fract_x
_atom_site_fract_y
_atom_site_fract_z
Li1 0.0000 0.0000 0.0000
Li2 0.0000 0.5000 0.0000
Mn1 0.0000 0.0000 0.5000
Ni1 0.0000 0.5000 0.5000
O1 0.0000 0.0000 0.2336
O2 0.0178 0.5089 0.2443
```

Output
- formation energy (no corrections) (eV per formula unit) = -23.45
- total energy (eV per cell) = -304.65
- DOS at the Fermi energy (states/eV per cell) = 17.63

---

[8]
Density functional theory data (GGA-PBEsol) for a relaxed Li3MnNi4O8 crystal.

Structure (CIF):
```
data_Li3MnNi4O8
_symmetry_space_group_name_H-M 'C 1 2/m 1'
_symmetry_Int_Tables_number 12
_symmetry_space_group_name_Hall '-C 2y'
_cell_length_a 9.9675
_cell_length_b 5.7180
_cell_length_c 5.7675
_cell_angle_alpha 90.00
_cell_angle_beta 125.09
_cell_angle_gamma 90.00
loop_
_atom_site_label
_atom_site_fract_x
_atom_site_fract_y
_atom_site_fract_z
Li1 0.0000 0.0000 0.0000
Li2 0.2500 0.2500 0.0000
Mn1 0.0000 0.5000 0.5000
Ni1 0.0000 0.0000 0.5000
Ni2 0.0000 0.5000 0.0000
Ni3 0.2500 0.2500 0.5000
O1 0.0038 0.2644 0.7401
O2 0.2351 0.5000 0.7218
O3 0.2486 0.5000 0.2705
```

Output
- formation energy (no corrections) (eV per formula unit) = -20.79
- total energy (eV per cell) = -206.15
- DOS at the Fermi energy (states/eV per cell) = 7.90

---

[9]
Density functional theory data (GGA-PBEsol) for a relaxed LiMn3Ni2O8 crystal.

Structure (CIF):
```
data_LiMn3Ni2O8
_symmetry_space_group_name_H-M 'I m m 2'
_symmetry_Int_Tables_number 44
_symmetry_space_group_name_Hall 'I 2 -2'
_cell_length_a 5.7319
_cell_length_b 5.7646
_cell_length_c 8.2516
_cell_angle_alpha 90.00
_cell_angle_beta 90.00
_cell_angle_gamma 90.00
loop_
_atom_site_label
_atom_site_fract_x
_atom_site_fract_y
_atom_site_fract_z
Li1 0.0000 0.0000 0.0000
Mn1 0.0000 0.5000 0.2351
Mn2 0.2456 0.5000 0.8649
Ni1 0.0000 0.2512 0.6178
O1 0.0000 0.2233 0.3735
O2 0.0000 0.2811 0.8630
O3 0.2261 0.0000 0.5991
O4 0.2259 0.5000 0.6396
```

Output
- formation energy (no corrections) (eV per formula unit) = -19.96
- total energy (eV per cell) = -211.05
- DOS at the Fermi energy (states/eV per cell) = 12.00

---

[10]
Density functional theory data (GGA-PBEsol) for a relaxed Li4Mn3Ni3Sb2O16 crystal.

Structure (CIF):
```
data_Li4Mn3Ni3Sb2O16
_symmetry_space_group_name_H-M 'C 1 m 1'
_symmetry_Int_Tables_number 8
_symmetry_space_group_name_Hall 'C -2y'
_cell_length_a 10.0734
_cell_length_b 5.7476
_cell_length_c 9.5043
_cell_angle_alpha 90.00
_cell_angle_beta 91.28
_cell_angle_gamma 90.00
loop_
_atom_site_label
_atom_site_fract_x
_atom_site_fract_y
_atom_site_fract_z
Li1 0.0000 0.0000 0.0000
Li2 0.0048 0.0000 0.5061
Li3 0.1716 0.5000 0.0907
Li4 0.3447 0.0000 0.5943
Mn1 0.3311 0.5000 0.7776
Mn2 0.4175 0.2445 0.2800
Ni1 0.0905 0.2556 0.7800
Ni2 0.1768 0.0000 0.2808
Sb1 0.1677 0.5000 0.5057
Sb2 0.3319 0.0000 0.0025
O1 0.0249 0.5000 0.6509
O2 0.0812 0.2437 0.3969
O3 0.1600 0.0000 0.9017
O4 0.1778 0.5000 0.8851
O5 0.2550 0.2787 0.6488
O6 0.2704 0.2332 0.1540
O7 0.3408 0.5000 0.3921
O8 0.3481 0.0000 0.3873
O9 0.4155 0.2570 0.8934
O10 0.4858 0.0000 0.1601
O11 0.4974 0.5000 0.1896
O12 0.4987 0.5000 0.6947
```

Output
- formation energy (no corrections) (eV per formula unit) = -42.84
- total energy (eV per cell) = -383.14
- DOS at the Fermi energy (states/eV per cell) = 13.33

---

[11]
Density functional theory data (GGA-PBEsol) for a relaxed Li4Mn3Ni2Sn3O16 crystal.

Structure (CIF):
```
data_Li4Mn3Ni2Sn3O16
_symmetry_space_group_name_H-M 'C 1 m 1'
_symmetry_Int_Tables_number 8
_symmetry_space_group_name_Hall 'C -2y'
_cell_length_a 10.3115
_cell_length_b 5.9375
_cell_length_c 9.4993
_cell_angle_alpha 90.00
_cell_angle_beta 90.12
_cell_angle_gamma 90.00
loop_
_atom_site_label
_atom_site_fract_x
_atom_site_fract_y
_atom_site_fract_z
Li1 0.0000 0.0000 0.0000
Li2 0.0126 0.0000 0.5083
Li3 0.1442 0.5000 0.1082
Li4 0.3080 0.0000 0.6183
Mn1 0.0665 0.2545 0.7883
Mn2 0.1528 0.0000 0.2842
Ni1 0.1467 0.5000 0.5182
Ni2 0.3168 0.0000 0.0073
Sn1 0.3133 0.5000 0.7886
Sn2 0.3980 0.2472 0.2894
O1 0.0757 0.2390 0.3960
O2 0.1374 0.5000 0.8968
O3 0.1464 0.0000 0.8888
O4 0.2117 0.2721 0.6658
O5 0.2342 0.2162 0.1627
O6 0.3044 0.0000 0.4053
O7 0.3292 0.5000 0.4158
O8 0.4120 0.2560 0.9017
O9 0.4644 0.0000 0.1567
O10 0.4924 0.5000 0.6908
O11 0.4944 0.5000 0.1839
O12 0.4994 0.0000 0.6759
```

Output
- formation energy (no corrections) (eV per formula unit) = -44.25
- total energy (eV per cell) = -380.97

---

[12]
Density functional theory data (GGA-PBEsol) for a relaxed Li4Mn3Ni3Te2O16 crystal.

Structure (CIF):
```
data_Li4Mn3Ni3Te2O16
_symmetry_space_group_name_H-M 'C 1 m 1'
_symmetry_Int_Tables_number 8
_symmetry_space_group_name_Hall 'C -2y'
_cell_length_a 10.1780
_cell_length_b 5.7405
_cell_length_c 9.7043
_cell_angle_alpha 90.00
_cell_angle_beta 91.52
_cell_angle_gamma 90.00
loop_
_atom_site_label
_atom_site_fract_x
_atom_site_fract_y
_atom_site_fract_z
Li1 0.0000 0.0000 0.0000
Li2 0.0008 0.0000 0.4917
Li3 0.1604 0.5000 0.4071
Li4 0.3310 0.0000 0.9099
Mn1 0.0820 0.2512 0.7220
Mn2 0.1739 0.0000 0.2203
Ni1 0.3263 0.5000 0.7189
Ni2 0.4150 0.2466 0.2171
Te1 0.1693 0.5000 0.9958
Te2 0.3386 0.0000 0.4915
O1 0.0011 0.0000 0.8149
O2 0.0055 0.0000 0.3029
O3 0.0131 0.5000 0.8380
O4 0.0834 0.2422 0.1051
O5 0.1491 0.0000 0.6197
O6 0.1534 0.5000 0.6178
O7 0.2309 0.2650 0.8433
O8 0.2494 0.2263 0.3364
O9 0.3276 0.0000 0.1164
O10 0.3407 0.5000 0.0973
O11 0.4266 0.2607 0.6034
O12 0.4788 0.0000 0.3511
```

Output
- formation energy (no corrections) (eV per formula unit) = -39.83
- total energy (eV per cell) = -372.99
- DOS at the Fermi energy (states/eV per cell) = 9.26